Material: DyHN
Method: DFT, PBE
State: relaxed

Values from the calculation:
total DFT energy (no corrections) = -6.033 eV/atom
size of the total moment = 0.2 μB/cell
crystal system = hexagonal

Cell lengths 3.6544, 3.6541, 5.4724 Å; angles 90.00, 90.00, 120.00 degrees
Atoms (fractional coordinates):
N: 0.0000 0.0000 0.0000
N: 0.0000 0.0000 0.5000
H: 0.3334 0.6668 0.2500
H: 0.6666 0.3332 0.7500
Dy: 0.3333 0.6666 0.7500
Dy: 0.6667 0.3334 0.2500

Material: Dy2HN
Method: DFT, PBE
State: relaxed

Values from the calculation:
total DFT energy (no corrections) = -6.172 eV/atom
size of the total moment = 0.0 μB/cell
crystal system = trigonal

Cell lengths 3.4544, 3.4544, 6.2177 Å; angles 73.87, 73.87, 60.00 degrees
Atoms (fractional coordinates):
H: 0.4916 0.4916 0.5251
Dy: 0.0780 0.0780 0.7660
Dy: 0.2624 0.2624 0.2127
N: 0.6679 0.6679 0.9962

Material: Dy4HN3
Method: DFT, PBE
State: relaxed

Values from the calculation:
total DFT energy (no corrections) = -7.214 eV/atom
size of the total moment = 0.0 μB/cell
crystal system = orthorhombic

Cell lengths 3.4759, 5.9928, 5.9928 Å; angles 71.70, 90.00, 90.00 degrees
Atoms (fractional coordinates):
Dy: 0.5000 0.2456 0.7455
Dy: 0.9999 0.2332 0.2669
Dy: 0.4999 0.7546 0.2545
Dy: 0.9999 0.7670 0.7331
N: 0.9999 0.5001 0.5000
N: 0.9999 0.0001 0.0000
N: 0.4999 0.0001 0.5000
H: 0.5000 0.5004 0.9997

Material: Dy4H2N
Method: DFT, PBE
State: relaxed

Values from the calculation:
total DFT energy (no corrections) = -5.316 eV/atom
size of the total moment = 0.0 μB/cell
crystal system = tetragonal

Cell lengths 4.7781, 4.7781, 6.5099 Å; angles 68.47, 68.47, 90.00 degrees
Atoms (fractional coordinates):
N: 0.0000 0.0000 0.0000
H: 0.4171 0.4171 0.1657
H: 0.5829 0.5829 0.8343
Dy: 0.5000 0.0000 0.0000
Dy: 0.7808 0.7808 0.4384
Dy: 0.2192 0.2192 0.5616
Dy: 0.0000 0.5000 0.0000

Question: The highest total DFT energy (no corrections) belongs to which entry?
Answer: Dy4H2N